(1)
Al2Cd2Ag3 GGA-PBE relaxed; crystal system = triclinic; electronic total energy = -2.56 eV/atom; ΔE_f = -0.0036 eV per atom
1.0
-3.929 0.887 -2.537
2.205 -4.154 0.824
-3.576 0.716 7.159
Al Cd Ag
2 2 3
direct
0.635 0.234 0.873 Al
0.365 0.766 0.127 Al
0.900 0.704 0.603 Cd
0.100 0.296 0.397 Cd
0.000 0.000 0.000 Ag
0.721 0.513 0.232 Ag
0.279 0.487 0.768 Ag

(2)
CaHfH2S GGA-PBE relaxed; crystal system = tetragonal; electronic total energy = -3.47 eV/atom
1.0
4.224 0.000 0.000
0.000 5.244 0.000
0.000 0.000 4.224
H Ca Hf S
2 1 1 1
direct
0.000 0.000 0.500 H
0.500 0.000 0.000 H
0.000 0.500 0.000 Ca
0.500 0.500 0.500 Hf
0.000 0.000 0.000 S

(3)
TbHoAl2S6 GGA-PBE relaxed; crystal system = trigonal; electronic total energy = -5.66 eV/atom; ΔE_f (raw) = -1.514 eV per atom
1.0
-0.022 5.670 3.005
-5.522 -2.610 -1.968
1.258 -5.905 4.300
Tb Ho Al S
1 1 2 6
direct
0.997 0.498 0.481 Tb
0.997 0.998 0.980 Ho
0.650 0.824 0.460 Al
0.343 0.171 0.500 Al
0.509 0.932 0.696 S
0.484 0.064 0.264 S
0.859 0.794 0.264 S
0.214 0.419 0.264 S
0.778 0.576 0.696 S
0.134 0.201 0.696 S

(4)
AcAg2TeS4 GGA-PBE relaxed; crystal system = monoclinic; electronic total energy = -4.28 eV/atom; ΔE_f (raw) = -0.602 eV per atom
1.0
-3.397 7.307 -1.623
-5.556 -5.301 -2.931
2.281 -1.267 8.445
Ac Ag Te S
2 4 2 8
direct
0.000 0.500 0.000 Ac
0.000 0.500 0.500 Ac
0.500 0.000 0.000 Ag
0.500 0.000 0.500 Ag
0.000 0.000 0.500 Ag
0.500 0.500 0.000 Ag
0.500 0.500 0.500 Te
0.000 0.000 0.000 Te
0.209 0.795 0.957 S
0.705 0.291 0.543 S
0.295 0.709 0.457 S
0.791 0.205 0.043 S
0.848 0.800 0.127 S
0.700 0.652 0.373 S
0.300 0.348 0.627 S
0.152 0.200 0.873 S

(5)
CaSmGdTl GGA-PBE relaxed; crystal system = cubic; electronic total energy = -5.87 eV/atom; ΔE_f = -0.0799 eV per atom
1.0
-2.256 1.903 4.731
-3.882 -3.006 2.644
1.209 -2.465 4.854
Tl Gd Ca Sm
1 1 1 1
direct
0.500 0.500 0.500 Tl
0.250 0.250 0.250 Gd
0.000 0.000 0.000 Ca
0.750 0.750 0.750 Sm

(6)
TaTi3Zn GGA-PBE relaxed; ΔE to the lowest computed polymorph = 979.2 meV/atom; crystal system = cubic; electronic total energy = -6.41 eV/atom; ΔE_f = 0.9543 eV per atom
1.0
-4.598 0.303 0.231
0.175 -0.803 4.540
0.338 4.534 0.788
Zn Ti Ta
1 3 1
direct
0.000 0.000 0.000 Zn
0.000 0.500 0.000 Ti
0.000 0.000 0.500 Ti
0.500 0.000 0.000 Ti
0.500 0.500 0.500 Ta

(7)
Li2ErPu3Se6 GGA-PBE relaxed; crystal system = monoclinic; electronic total energy = -7.39 eV/atom; ΔE_f (raw) = -1.370 eV per atom
1.0
3.805 0.000 0.000
0.000 14.093 -3.556
-1.903 -7.907 7.319
Li Er Pu Se
2 1 3 6
direct
0.689 0.498 0.378 Li
0.311 0.502 0.622 Li
0.500 0.000 0.000 Er
0.500 0.500 0.000 Pu
0.644 0.970 0.288 Pu
0.356 0.030 0.712 Pu
0.091 0.752 0.181 Se
0.768 0.768 0.537 Se
0.909 0.248 0.819 Se
0.927 0.754 0.854 Se
0.073 0.246 0.146 Se
0.232 0.232 0.463 Se

(8)
La5Pr2Er2 GGA-PBE relaxed; ΔE to the lowest computed polymorph = 0.0 meV/atom; crystal system = triclinic; electronic total energy = -4.75 eV/atom; ΔE_f = 0.0595 eV per atom
1.0
6.079 0.524 -1.001
-1.758 8.516 -5.390
-1.681 -3.085 8.305
La Pr Er
5 2 2
direct
0.487 0.866 0.109 La
0.513 0.134 0.891 La
0.406 0.326 0.675 La
0.594 0.674 0.325 La
0.000 0.000 0.000 La
0.196 0.582 0.460 Pr
0.804 0.418 0.540 Pr
0.966 0.234 0.787 Er
0.034 0.766 0.213 Er

Magnetization readings, ordered: 0.00 1.11 0.00 0.00 7.52 2.52 5.77 0.00 μB/cell